Computed, not measured: PmAlAgP after structural relaxation at the PBE-GGA level of DFT.

a = 4.9040 Å, b = 4.9040 Å, c = 4.9040 Å
α = 60.00°, β = 60.00°, γ = 60.00°
With the nearest neighbours (Å) after each atom.
Element x y z (fractional)
P: 0.0000 0.0000 0.0000  4 Al 3.00, 4 Pm 3.00
Al: 0.7500 0.7500 0.7500  4 P 3.00, 4 Ag 3.00
Ag: 0.5000 0.5000 0.5000  4 Al 3.00, 4 Pm 3.00
Pm: 0.2500 0.2500 0.2500  4 Ag 3.00, 4 P 3.00

Values from the calculation:
total moment	0.00	μB/f.u.
N(E_F)	1.276	states/eV/atom
energy	-0.16313	Ha/atom

=====

Computed, not measured: In2TeMo after structural relaxation at the PBE-GGA level of DFT.

a = 3.5382 Å, b = 5.0196 Å, c = 5.0956 Å
α = 90.00°, β = 90.00°, γ = 90.00°
With the nearest neighbours (Å) after each atom.
Element x y z (fractional)
In: 0.0000 0.0000 0.0000  4 In 3.07, 4 Mo 3.10
In: 0.5000 0.5000 0.0000  4 In 3.07, 4 Te 3.10
Mo: 0.5000 0.0000 0.5000  4 Te 3.07, 4 In 3.10
Te: 0.0000 0.5000 0.5000  4 Mo 3.07, 4 In 3.10

Values from the calculation:
formation energy without anion corrections	0.5561	eV per atom
total moment	1.65	μB/f.u.
N(E_F)	0.650	states/eV/atom

=====

Computed, not measured: La7Zn2Cd2 after structural relaxation at the PBE-GGA level of DFT.

a = 7.0604 Å, b = 7.7887 Å, c = 7.0604 Å
α = 90.04°, β = 110.42°, γ = 89.96°
With the nearest neighbours (Å) after each atom.
Element x y z (fractional)
La: 0.0000 0.2849 0.4996  2 Zn 3.03, 1 La 3.35
La: 0.4996 0.7151 0.0000  2 Zn 3.03, 1 La 3.35
La: 0.0000 0.7151 0.5004  2 Zn 3.03, 1 La 3.35
La: 0.5004 0.2849 0.0000  2 Zn 3.03, 1 La 3.35
La: 0.0000 0.0000 0.0000  2 Zn 3.32
La: 0.5002 0.7558 0.4998  2 Zn 3.13, 2 Cd 3.32
La: 0.4998 0.2442 0.5002  2 Zn 3.13, 2 Cd 3.32
Zn: 0.7141 0.0000 0.2859  7 La 3.03-3.32
Zn: 0.2859 0.0000 0.7141  7 La 3.03-3.32
Cd: 0.8293 0.5000 0.8293  1 Cd 2.75
Cd: 0.1707 0.5000 0.1707  1 Cd 2.75

Values from the calculation:
total moment	0.00	μB/f.u.
N(E_F)	1.445	states/eV/atom
energy	-0.13118	Ha/atom

=====

Computed, not measured: RbAlCuSi2 after structural relaxation at the PBE-GGA level of DFT.

a = 4.6533 Å, b = 5.7105 Å, c = 4.6533 Å
α = 90.00°, β = 90.00°, γ = 90.00°
With the nearest neighbours (Å) after each atom.
Element x y z (fractional)
Si: 0.0000 0.0000 0.5000  2 Cu 2.33
Si: 0.5000 0.0000 0.0000  2 Cu 2.33
Cu: 0.0000 0.0000 0.0000  4 Si 2.33
Rb: 0.0000 0.5000 0.0000  2 Cu 2.86
Al: 0.5000 0.5000 0.5000  4 Rb 3.29, 8 Si 3.68

Values from the calculation:
formation energy without anion corrections	0.7767	eV per atom
total moment	0.00	μB/f.u.
N(E_F)	0.688	states/eV/atom

=====

Computed, not measured: Zr2TiZnN after structural relaxation at the PBE-GGA level of DFT.

a = 4.5072 Å, b = 4.5072 Å, c = 4.0579 Å
α = 90.00°, β = 90.00°, γ = 90.00°
With the nearest neighbours (Å) after each atom.
Element x y z (fractional)
Zn: 0.5000 0.5000 0.5000  8 Zr 3.03, 4 Ti 3.19
N: 0.0000 0.0000 0.0000  2 Ti 2.03, 4 Zr 2.25
Zr: 0.0000 0.5000 0.0000  2 N 2.25
Zr: 0.5000 0.0000 0.0000  2 N 2.25
Ti: 0.0000 0.0000 0.5000  2 N 2.03

Values from the calculation:
formation energy without anion corrections	-0.8405	eV per atom
total moment	0.54	μB/f.u.
N(E_F)	0.679	states/eV/atom
relative energy among the computed polymorphs	0.00	eV/f.u.

=====

Computed, not measured: HoTiAgAu after structural relaxation at the PBE-GGA level of DFT.

a = 4.8812 Å, b = 4.8812 Å, c = 4.8812 Å
α = 60.00°, β = 60.00°, γ = 60.00°
With the nearest neighbours (Å) after each atom.
Element x y z (fractional)
Au: 0.0000 0.0000 0.0000  4 Ho 2.99, 4 Ti 2.99
Ho: 0.7500 0.7500 0.7500  4 Au 2.99, 4 Ag 2.99
Ag: 0.5000 0.5000 0.5000  4 Ho 2.99, 4 Ti 2.99
Ti: 0.2500 0.2500 0.2500  4 Ag 2.99, 4 Au 2.99

Values from the calculation:
total moment	1.58	μB/f.u.
N(E_F)	1.146	states/eV/atom
energy	-0.18123	Ha/atom

=====

Computed, not measured: GdMgInSn after structural relaxation at the PBE-GGA level of DFT.

a = 5.2574 Å, b = 5.2574 Å, c = 5.2574 Å
α = 60.00°, β = 60.00°, γ = 60.00°
With the nearest neighbours (Å) after each atom.
Element x y z (fractional)
Mg: 0.0000 0.0000 0.0000  4 In 3.22, 4 Sn 3.22
Gd: 0.5000 0.5000 0.5000  4 In 3.22, 4 Sn 3.22
Sn: 0.2500 0.2500 0.2500  4 Gd 3.22, 4 Mg 3.22
In: 0.7500 0.7500 0.7500  4 Mg 3.22, 4 Gd 3.22

Values from the calculation:
total moment	6.81	μB/f.u.
N(E_F)	0.903	states/eV/atom
energy	-0.21757	Ha/atom

=====

Computed, not measured: SrCdFe after structural relaxation at the PBE-GGA level of DFT.

a = 4.9233 Å, b = 4.9233 Å, c = 4.9233 Å
α = 60.00°, β = 60.00°, γ = 60.00°
With the nearest neighbours (Å) after each atom.
Element x y z (fractional)
Cd: 0.5000 0.5000 0.5000  4 Fe 3.01
Fe: 0.2500 0.2500 0.2500  4 Cd 3.01, 4 Sr 3.01
Sr: 0.0000 0.0000 0.0000  4 Fe 3.01

Values from the calculation:
total moment	2.49	μB/f.u.
N(E_F)	1.744	states/eV/atom
energy	-0.11520	Ha/atom